[1]
Crystalline BaSn3Mo at its relaxed geometry, computed with PBE.

```
BaSn3Mo
1.0
5.325 0.000 0.000
0.000 5.325 0.000
0.000 0.000 5.325
Sn Mo Ba
3 1 1
Cartesian
0.000 0.000 2.662
2.662 0.000 0.000
0.000 2.662 0.000
0.000 0.000 0.000
2.662 2.662 2.662
```

Results
Its symmetry is No. 221. Its total energy is -5.0674 eV per atom. Its calculated formation energy is -0.11 eV per atom.


[2]
Crystalline BaSrSn2Mo at its relaxed geometry, computed with PBE.

```
BaSrSn2Mo
1.0
5.415 0.000 0.000
0.000 5.553 0.000
0.000 0.000 5.415
Ba Sr Mo Sn
1 1 1 2
Cartesian
2.707 2.777 2.707
0.000 2.777 0.000
0.000 0.000 0.000
0.000 0.000 2.707
2.707 0.000 0.000
```

Results
Its symmetry is No. 123. Its total energy is -4.4509 eV per atom. Its calculated formation energy is 0.04 eV per atom.


[3]
Crystalline BaTcSnMo2 at its relaxed geometry, computed with PBE.

```
BaTcSnMo2
1.0
5.091 0.000 0.000
0.000 4.992 0.000
0.000 0.000 5.091
Ba Mo Tc Sn
1 2 1 1
Cartesian
0.000 0.000 0.000
2.546 0.000 0.000
0.000 0.000 2.546
0.000 2.496 0.000
2.546 2.496 2.546
```

Results
Its symmetry is No. 123. Its total energy is -4.7651 eV per atom. Its calculated formation energy is 2.83 eV per atom.


[4]
Crystalline BaSr2Mo at its relaxed geometry, computed with PBE.

```
BaSr2Mo
1.0
12.342 -0.058 -0.034
11.715 3.883 -0.034
11.715 1.863 3.407
Ba Mo Sr
1 1 2
Cartesian
17.157 2.728 1.601
26.802 4.261 2.502
9.004 1.432 0.840
0.694 0.110 0.065
```

Results
Its symmetry is No. 160. Its total energy is -3.1529 eV per atom. Its calculated formation energy is 0.88 eV per atom.


[5]
Crystalline BaSr2Mo at its relaxed geometry, computed with PBE.

```
BaSr2Mo
1.0
-3.283 5.723 -3.585
-3.074 2.727 -6.285
-6.249 -0.274 -0.180
Sr Ba Mo
2 1 1
Cartesian
-9.454 6.126 -7.531
-6.351 7.975 -9.343
-6.310 4.553 -5.542
-3.151 2.060 -2.530
```

Results
Its symmetry is No. 44. Its total energy is -3.2317 eV per atom. Its calculated formation energy is 0.80 eV per atom.


[6]
Crystalline Ba2SrMo at its relaxed geometry, computed with PBE.

```
Ba2SrMo
1.0
-3.950 -0.404 -0.774
0.873 -1.827 -3.502
0.874 -11.250 1.414
Ba Mo Sr
2 1 1
Cartesian
0.874 -11.192 1.387
-1.538 -4.124 -0.571
0.874 -6.599 -1.014
-0.664 -9.355 -2.295
```

Results
Its symmetry is No. 99. Its total energy is -3.3135 eV per atom. Its calculated formation energy is 0.78 eV per atom.


Question: calculated formation energy of number 3 (BaTcSnMo2)?
Answer: 2.83 eV per atom


Question: Look up the calculated formation energy of the fifth one.
Answer: 0.80 eV per atom